# 1
This record from the Alexandria database describes a relaxed structure of FeIr2W. The functional is PBE.

Summary:
Symmetry: R3m (160)
Energy above the lowest structure with this stoichiometry: 0.296 eV per atom
Total magnetization: 7.427 μB/cell

Geometry as CIF:
```
data_FeIr2W
_chemical_formula_sum 'Fe3 Ir6 W3'
_symmetry_space_group_name_H-M 'P 1'
_symmetry_Int_Tables_number 1
_cell_length_a 2.746
_cell_length_b 2.746
_cell_length_c 26.582
_cell_angle_alpha 90.00
_cell_angle_beta 90.00
_cell_angle_gamma 120.00
loop_
_symmetry_equiv_pos_as_xyz
'x,y,z'
loop_
_atom_site_label
_atom_site_type_symbol
_atom_site_fract_x
_atom_site_fract_y
_atom_site_fract_z
Fe1 Fe 0.000 0.000 0.000
Fe2 Fe 0.333 0.667 0.667
Fe3 Fe 0.667 0.333 0.333
Ir1 Ir 0.000 0.000 0.499
Ir2 Ir 0.000 0.000 0.744
Ir3 Ir 0.333 0.667 0.165
Ir4 Ir 0.333 0.667 0.410
Ir5 Ir 0.667 0.333 0.077
Ir6 Ir 0.667 0.333 0.832
W1 W 0.000 0.000 0.248
W2 W 0.333 0.667 0.915
W3 W 0.667 0.333 0.581
```

***

# 2
This record from the Alexandria database describes a relaxed structure of SrAs2. The functional is PBE.

Summary:
E_tot: -0.3176 Ry per atom
Symmetry: P6_3/mmc (194)
Total magnetization: 0.000 μB/cell

Geometry as CIF:
```
data_SrAs2
_chemical_formula_sum 'Sr2 As4'
_symmetry_space_group_name_H-M 'P 1'
_symmetry_Int_Tables_number 1
_cell_length_a 4.582
_cell_length_b 4.582
_cell_length_c 8.828
_cell_angle_alpha 90.00
_cell_angle_beta 90.00
_cell_angle_gamma 120.00
loop_
_symmetry_equiv_pos_as_xyz
'x,y,z'
loop_
_atom_site_label
_atom_site_type_symbol
_atom_site_fract_x
_atom_site_fract_y
_atom_site_fract_z
Sr1 Sr 0.000 0.000 0.250
Sr2 Sr 0.000 0.000 0.750
As1 As 0.333 0.667 0.016
As2 As 0.333 0.667 0.484
As3 As 0.667 0.333 0.516
As4 As 0.667 0.333 0.984
```

***

# 3
This record from the Alexandria database describes a relaxed structure of TlCd2Os. The functional is PBE.

Summary:
Symmetry: C2/m (12)
Energy above the lowest structure with this stoichiometry: 0.178 eV per atom
Total magnetization: 0.002 μB/cell

Geometry as CIF:
```
data_TlCd2Os
_chemical_formula_sum 'Tl2 Cd4 Os2'
_symmetry_space_group_name_H-M 'P 1'
_symmetry_Int_Tables_number 1
_cell_length_a 5.736
_cell_length_b 8.313
_cell_length_c 3.345
_cell_angle_alpha 90.00
_cell_angle_beta 90.14
_cell_angle_gamma 90.00
loop_
_symmetry_equiv_pos_as_xyz
'x,y,z'
loop_
_atom_site_label
_atom_site_type_symbol
_atom_site_fract_x
_atom_site_fract_y
_atom_site_fract_z
Tl1 Tl 0.000 0.000 0.000
Tl2 Tl 0.500 0.500 0.000
Cd1 Cd 0.250 0.250 0.500
Cd2 Cd 0.250 0.750 0.500
Cd3 Cd 0.750 0.250 0.500
Cd4 Cd 0.750 0.750 0.500
Os1 Os 0.000 0.500 0.000
Os2 Os 0.500 0.000 0.000
```

***

# 4
This record from the Alexandria database describes a relaxed structure of Al2NiBr. The functional is PBE.

Summary:
Symmetry: Pmmm (47)
Energy above the lowest structure with this stoichiometry: 0.621 eV per atom
Total magnetization: 0.000 μB/cell
Uncorrected formation energy: 1.4 eV per formula unit

Geometry as CIF:
```
data_Al2NiBr
_chemical_formula_sum 'Al2 Ni1 Br1'
_symmetry_space_group_name_H-M 'P 1'
_symmetry_Int_Tables_number 1
_cell_length_a 3.046
_cell_length_b 4.475
_cell_length_c 5.182
_cell_angle_alpha 90.00
_cell_angle_beta 90.00
_cell_angle_gamma 90.00
loop_
_symmetry_equiv_pos_as_xyz
'x,y,z'
loop_
_atom_site_label
_atom_site_type_symbol
_atom_site_fract_x
_atom_site_fract_y
_atom_site_fract_z
Al1 Al 0.000 0.000 0.000
Al2 Al 0.500 0.500 0.000
Ni1 Ni 0.000 0.500 0.500
Br1 Br 0.500 0.000 0.500
```

***

# 5
This record from the Alexandria database describes a relaxed structure of TcOsW2Au. The functional is PBE.

Summary:
Symmetry: P4/mmm (123)
Energy above the lowest structure with this stoichiometry: 0.000 eV per atom
Total magnetization: 0.000 μB/cell

Geometry as CIF:
```
data_TcOsW2Au
_chemical_formula_sum 'Tc1 Os1 W2 Au1'
_symmetry_space_group_name_H-M 'P 1'
_symmetry_Int_Tables_number 1
_cell_length_a 4.731
_cell_length_b 4.731
_cell_length_c 4.675
_cell_angle_alpha 90.00
_cell_angle_beta 90.00
_cell_angle_gamma 90.00
loop_
_symmetry_equiv_pos_as_xyz
'x,y,z'
loop_
_atom_site_label
_atom_site_type_symbol
_atom_site_fract_x
_atom_site_fract_y
_atom_site_fract_z
Tc1 Tc 0.000 0.000 0.000
Os1 Os 0.000 0.000 0.500
W1 W 0.000 0.500 0.500
W2 W 0.500 0.000 0.500
Au1 Au 0.500 0.500 0.000
```

***

# 6
This record from the Alexandria database describes a relaxed structure of Nd5HoPt4. The functional is PBE.

Summary:
E_tot: -0.4503 Ry per atom
Symmetry: C2/m (12)
Total magnetization: 0.000 μB/cell

Geometry as CIF:
```
data_Nd5HoPt4
_chemical_formula_sum 'Nd5 Ho1 Pt4'
_symmetry_space_group_name_H-M 'P 1'
_symmetry_Int_Tables_number 1
_cell_length_a 9.295
_cell_length_b 9.295
_cell_length_c 8.128
_cell_angle_alpha 105.43
_cell_angle_beta 105.43
_cell_angle_gamma 26.08
loop_
_symmetry_equiv_pos_as_xyz
'x,y,z'
loop_
_atom_site_label
_atom_site_type_symbol
_atom_site_fract_x
_atom_site_fract_y
_atom_site_fract_z
Nd1 Nd 0.000 0.000 0.000
Nd2 Nd 0.333 0.333 0.644
Nd3 Nd 0.334 0.334 0.154
Nd4 Nd 0.666 0.666 0.846
Nd5 Nd 0.667 0.667 0.356
Ho1 Ho 0.000 0.000 0.500
Pt1 Pt 0.168 0.168 0.606
Pt2 Pt 0.499 0.499 0.251
Pt3 Pt 0.501 0.501 0.749
Pt4 Pt 0.832 0.832 0.394
```